PBE LaHf2Hg, relaxed; calculated formation energy = 0.35 eV per atom
1.0
4.4228 0.0000 0.0000
0.0000 4.4228 0.0000
2.2114 2.2114 10.7930
Hf Hg La
4 2 2
Direct
0.6340 0.1250 0.2500
0.1160 0.6250 0.2500
0.3750 0.3660 0.7500
0.8750 0.8840 0.7500
0.0000 0.0000 0.0000
0.7500 0.2500 0.5000
0.5000 0.5000 0.0000
0.2500 0.7500 0.5000